DFT (PBE) results for a relaxed structure of Nd8Ge5Sb.

Cell lengths 8.0020, 8.0020, 8.0020 Å; angles 109.26, 109.89, 109.26 degrees
With the nearest neighbours (Å) after each atom.
Fractional coordinates of all 14 atoms:
Nd 0.6269 0.3778 0.8754  3 Ge 3.00-3.03
Nd 0.1197 0.7563 0.0134  4 Ge 3.00-3.35, 1 Sb 3.13
Nd 0.7508 0.2485 0.3731  3 Ge 3.00-3.03
Nd 0.6367 0.8937 0.8803  4 Ge 3.00-3.35, 1 Sb 3.13
Nd 0.9866 0.1063 0.7430  4 Ge 3.00-3.35, 1 Sb 3.13
Nd 0.1246 0.7515 0.5024  3 Ge 3.00-3.03
Nd 0.4976 0.6222 0.2492  3 Ge 3.00-3.03
Nd 0.2570 0.2437 0.3633  4 Ge 3.00-3.35, 1 Sb 3.13
Ge 0.5000 0.0000 0.5000  8 Nd 3.02-3.35
Ge 0.7489 0.6237 0.6263  5 Nd 3.00-3.31
Ge 0.0026 0.3763 0.1252  5 Nd 3.00-3.31
Ge 0.3737 0.1226 0.9974  5 Nd 3.00-3.31
Ge 0.8748 0.8774 0.2511  5 Nd 3.00-3.31
Sb 0.2500 0.5000 0.7500  8 Nd 3.13-3.41

Summary:
Final energy = -5.5220 eV per atom
ΔE_f (raw) = -0.854 eV per atom
Space group = No. 82
V = 394.4 Å³ per cell